[1]
{"formula": "Sc2Al5Tc2Rh", "functional": "PBE-GGA", "state": "relaxed", "ef_kj_per_mol_atoms": -37.9, "total_magnetization_mub_per_fu": 0.0, "lattice": [[-1.180, 2.630, 1.444], [-7.840, -5.507, 3.623], [5.422, -2.187, 8.411]], "species": ["Sc", "Sc", "Sc", "Sc", "Al", "Al", "Al", "Al", "Al", "Al", "Al", "Al", "Al", "Al", "Tc", "Tc", "Tc", "Tc", "Rh", "Rh"], "frac_coords": [[0.000, 0.688, 0.188], [0.000, 0.312, 0.812], [0.000, 0.188, 0.312], [0.000, 0.812, 0.688], [0.500, 0.192, 0.049], [0.500, 0.808, 0.951], [0.500, 0.049, 0.808], [0.500, 0.692, 0.451], [0.500, 0.951, 0.192], [0.500, 0.308, 0.549], [0.500, 0.549, 0.692], [0.500, 0.451, 0.308], [0.500, 0.500, 0.000], [0.500, 0.000, 0.500], [0.000, 0.132, 0.632], [0.000, 0.868, 0.368], [0.000, 0.632, 0.868], [0.000, 0.368, 0.132], [0.000, 0.000, 0.000], [0.000, 0.500, 0.500]]}


[2]
{"formula": "Pr6Mg5Pb", "functional": "PBE-GGA", "state": "relaxed", "ef_kj_per_mol_atoms": -18.7, "total_magnetization_mub_per_fu": 0.0, "lattice": [[5.262, -0.031, 1.754], [0.042, 7.804, 0.014], [-0.010, -0.016, 8.803]], "species": ["Pr", "Pr", "Pr", "Pr", "Pr", "Pr", "Pb", "Mg", "Mg", "Mg", "Mg", "Mg"], "frac_coords": [[0.833, 0.746, 0.334], [0.833, 0.254, 0.334], [0.500, 0.251, 0.000], [0.500, 0.749, 0.000], [0.167, 0.746, 0.666], [0.167, 0.254, 0.666], [0.000, 0.000, 0.000], [0.666, 0.500, 0.668], [0.328, 0.000, 0.344], [0.000, 0.500, 0.000], [0.672, 0.000, 0.656], [0.334, 0.500, 0.332]]}


[3]
{"formula": "BeSiGeS2", "functional": "PBE-GGA", "state": "relaxed", "e_tot_ev_per_atom": -3.9539, "total_magnetization_mub_per_fu": 0.0, "lattice": [[-0.282, -1.187, -4.651], [-1.198, -3.769, 1.035], [-4.588, 1.434, -0.088]], "species": ["Be", "Ge", "Si", "S", "S"], "frac_coords": [[0.000, 0.500, 0.000], [0.500, 0.500, 0.500], [0.000, 0.000, 0.000], [0.000, 0.000, 0.500], [0.500, 0.000, 0.000]]}


[4]
{"formula": "ZnReAsSe2", "functional": "PBE-GGA", "state": "relaxed", "relative_energy_ev_per_atom": 0.804, "total_magnetization_mub_per_fu": 2.9, "lattice": [[4.841, 0.000, 0.000], [0.000, 4.841, 0.000], [0.000, 0.000, 4.738]], "species": ["Re", "As", "Zn", "Se", "Se"], "frac_coords": [[0.500, 0.500, 0.500], [0.000, 0.000, 0.500], [0.000, 0.000, 0.000], [0.000, 0.500, 0.000], [0.500, 0.000, 0.000]]}


[5]
{"formula": "YPaTl2", "functional": "PBE-GGA", "state": "relaxed", "relative_energy_ev_per_atom": 0.000, "ef_kj_per_mol_atoms": -4.6, "total_magnetization_mub_per_fu": 1.5, "lattice": [[3.428, 0.000, 0.000], [0.000, 3.428, 0.000], [0.000, 0.000, 9.074]], "species": ["Y", "Tl", "Tl", "Pa"], "frac_coords": [[0.500, 0.500, 0.500], [0.000, 0.000, 0.747], [0.000, 0.000, 0.253], [0.500, 0.500, 0.000]]}


Repeat the second record exactly.
{"formula": "Pr6Mg5Pb", "functional": "PBE-GGA", "state": "relaxed", "ef_kj_per_mol_atoms": -18.7, "total_magnetization_mub_per_fu": 0.0, "lattice": [[5.262, -0.031, 1.754], [0.042, 7.804, 0.014], [-0.010, -0.016, 8.803]], "species": ["Pr", "Pr", "Pr", "Pr", "Pr", "Pr", "Pb", "Mg", "Mg", "Mg", "Mg", "Mg"], "frac_coords": [[0.833, 0.746, 0.334], [0.833, 0.254, 0.334], [0.500, 0.251, 0.000], [0.500, 0.749, 0.000], [0.167, 0.746, 0.666], [0.167, 0.254, 0.666], [0.000, 0.000, 0.000], [0.666, 0.500, 0.668], [0.328, 0.000, 0.344], [0.000, 0.500, 0.000], [0.672, 0.000, 0.656], [0.334, 0.500, 0.332]]}